Material: SrTaTc2
Method: DFT, meta-GGA SCAN
State: PBEsol geometry

Unit cell a=3.217 b=3.217 c=7.460 alpha=90.00 beta=90.00 gamma=90.00
Space group P4/mmm (No. 123)
Inequivalent atoms, fractional coordinates:
Sr (0.000, 0.000, 0.000) (multiplicity 1)
Ta (0.000, 0.000, 0.500) (multiplicity 1)
Tc (0.500, 0.500, 0.313) (multiplicity 2)

Calculated values
Polymorph energy (0 for the lowest one) = 0.0 kJ/mol of atoms
Total DFT energy (no corrections) = -157.6 eV/f.u.
V = 19.30 Å³/atom
Formation energy from the elements = 0.35 eV/atom